[1]
Here is a relaxed NaGeTe2 crystal from Alexandria. Energies are from PBE.

Output
E	-3.403	eV/atom

Structure (POSCAR):
```
NaGeTe2
1.0
5.425 0.000 0.000
0.000 6.478 0.000
0.000 0.000 13.994
Na Ge Te
4 4 8
Cartesian
4.069 1.550 2.367
1.356 4.928 11.627
4.069 4.788 4.630
1.356 1.689 9.364
1.356 4.012 1.049
1.356 0.773 5.948
4.069 2.466 12.945
4.069 5.705 8.046
4.069 1.523 6.474
1.356 4.954 7.520
4.069 4.762 0.523
1.356 1.716 13.471
4.069 0.106 10.643
1.356 3.132 3.646
4.069 3.345 10.348
1.356 6.371 3.351
```

---

[2]
Here is a relaxed NaGeTe2 crystal from Alexandria. Energies are from PBE.

Output
E	-3.302	eV/atom

Structure (POSCAR):
```
NaGeTe2
1.0
-1.703 3.625 7.534
0.029 -6.363 -1.764
13.215 -0.886 3.413
Na Ge Te
4 4 8
Cartesian
8.712 -1.928 2.896
2.830 -1.696 6.287
1.762 -3.380 2.024
9.780 -0.245 7.159
7.444 -4.757 3.971
4.097 1.133 5.212
1.535 -0.451 0.564
10.006 -3.174 8.620
12.413 -2.669 4.089
-0.871 -0.955 5.094
5.639 -3.147 2.788
5.903 -0.478 6.395
9.625 -5.513 2.411
2.768 0.076 3.005
1.917 1.888 6.772
8.773 -3.700 6.179
```

---

[3]
Here is a relaxed NaGeTe2 crystal from Alexandria. Energies are from PBE.

Output
E	-3.014	eV/atom

Structure (POSCAR):
```
NaGeTe2
1.0
-3.990 -4.943 9.209
-3.700 -7.686 7.238
-1.024 -6.572 8.995
Na Ge Te
1 1 2
Cartesian
-4.357 -9.600 12.721
0.000 0.000 0.000
-7.921 -17.453 23.126
-0.793 -1.748 2.316
```

---

[4]
Here is a relaxed NaGeTe3 crystal from Alexandria. Energies are from PBE.

Output
E	-2.389	eV/atom
offset from the most stable computed form	954	meV/atom

Structure (POSCAR):
```
NaGeTe3
1.0
5.480 0.000 0.000
0.000 5.480 0.000
0.000 0.000 5.480
Na Ge Te
1 1 3
Cartesian
0.000 0.000 0.000
2.740 2.740 2.740
0.000 2.740 0.000
0.000 0.000 2.740
2.740 0.000 0.000
```

---

[5]
Here is a relaxed NaGe2Te crystal from Alexandria. Energies are from PBE.

Output
E	-3.567	eV/atom

Structure (POSCAR):
```
NaGe2Te
1.0
-2.507 2.096 -3.666
-4.979 -0.668 1.553
-0.393 8.728 2.812
Na Ge Te
2 4 2
Cartesian
-4.630 1.413 -1.221
-2.324 7.741 0.211
-3.605 4.351 -1.083
-4.712 4.715 1.739
-6.198 4.676 -0.516
-1.983 4.375 1.261
-1.558 2.090 -0.239
-4.273 7.142 2.801
```

---

[6]
Here is a relaxed Na2GeTe2 crystal from Alexandria. Energies are from PBE.

Output
E	-3.241	eV/atom
offset from the most stable computed form	0	meV/atom

Structure (POSCAR):
```
Na2GeTe2
1.0
4.847 0.000 0.000
0.000 6.689 0.000
-2.423 0.000 9.320
Na Ge Te
4 2 4
Cartesian
2.423 4.906 8.855
2.423 3.106 5.637
0.000 6.451 3.683
0.000 1.562 0.464
0.000 0.188 7.509
2.423 3.532 1.810
0.000 2.930 7.974
2.423 6.492 5.995
0.000 3.148 3.324
2.423 6.274 1.345
```

---

[7]
Here is a relaxed NaGe2Te crystal from Alexandria. Energies are from PBE.

Output
E	-3.551	eV/atom

Structure (POSCAR):
```
NaGe2Te
1.0
4.420 -0.183 0.112
-1.305 4.228 0.189
-0.739 0.084 6.032
Na Ge Te
1 2 1
Cartesian
1.461 0.762 4.955
2.676 3.337 1.229
0.325 1.924 1.126
-0.803 2.618 3.508
```

---

[8]
Here is a relaxed Na2ThGeTe4 crystal from Alexandria. Energies are from PBE.

Output
E	-4.258	eV/atom

Structure (POSCAR):
```
Na2ThGeTe4
1.0
4.496 0.000 0.000
0.000 7.757 0.165
0.000 -2.679 7.378
Na Th Ge Te
2 1 1 4
Cartesian
2.248 -1.339 3.689
0.000 2.539 3.772
2.248 3.878 0.082
0.000 0.000 0.000
2.248 1.231 1.704
2.248 3.847 5.839
0.000 -0.134 5.704
0.000 5.212 1.839
```

---

[9]
Here is a relaxed Na3ThGe2Te6 crystal from Alexandria. Energies are from PBE.

Output
E	-3.959	eV/atom

Structure (POSCAR):
```
Na3ThGe2Te6
1.0
7.598 -0.001 -0.001
-3.798 6.580 -0.001
-1.268 -2.196 7.513
Na Th Ge Te
3 1 2 6
Cartesian
-2.550 4.396 3.756
5.082 -0.012 3.756
1.266 2.192 3.756
0.000 0.000 0.000
-0.009 4.392 -0.001
3.808 2.187 -0.001
3.848 2.105 5.820
2.484 4.301 1.694
-1.316 2.279 1.691
-0.100 4.384 5.820
0.048 0.082 5.817
2.632 -0.001 1.691
```

---

[10]
Here is a relaxed Na4Tm3GeTe8 crystal from Alexandria. Energies are from PBE.

Output
E	-4.069	eV/atom

Structure (POSCAR):
```
Na4Tm3GeTe8
1.0
-7.235 3.839 -2.917
-4.812 -7.392 2.209
4.782 3.846 6.159
Na Tm Ge Te
4 3 1 8
Cartesian
-3.618 1.919 -1.458
-1.227 3.843 1.621
0.000 0.000 0.000
2.391 1.923 3.080
-6.024 -1.776 -0.354
-3.633 0.147 2.726
-0.015 -1.773 4.184
-2.406 -3.696 1.104
-0.494 -0.645 6.978
-2.930 -2.604 3.841
-0.697 0.967 3.002
-4.179 1.311 5.492
-3.086 -1.017 -0.041
-6.569 -0.674 2.449
-4.336 2.897 1.610
-6.772 0.938 -1.527
```

---

[11]
Here is a relaxed Na3Tm3GeTe8 crystal from Alexandria. Energies are from PBE.

Output
E	-4.113	eV/atom

Structure (POSCAR):
```
Na3Tm3GeTe8
1.0
-1.130 -2.633 -8.071
2.633 -5.548 5.986
-8.736 2.831 0.300
Na Tm Ge Te
3 3 1 8
Cartesian
0.000 0.000 0.000
1.317 -2.774 2.993
0.752 -4.091 -1.043
-4.933 0.099 -3.886
-3.616 -2.675 -0.893
-3.051 -1.359 3.143
-4.368 1.416 0.150
-1.291 -2.757 1.080
-5.942 -2.594 -2.866
-1.915 -4.167 -2.916
-5.318 -1.183 1.131
-3.273 -1.304 -6.006
-3.960 -4.047 4.220
-2.689 0.055 -1.840
-4.544 -5.406 0.055
```

---

[12]
Here is a relaxed Na3UGe2Te6 crystal from Alexandria. Energies are from PBE.

Output
E	-4.190	eV/atom

Structure (POSCAR):
```
Na3UGe2Te6
1.0
7.627 -0.003 0.002
-3.815 6.605 0.002
-1.270 -2.199 7.361
Na U Ge Te
3 1 2 6
Cartesian
-2.516 4.388 3.682
5.058 0.014 3.682
1.271 2.201 3.682
0.000 0.000 0.000
0.006 4.398 0.002
3.806 2.203 0.002
3.805 2.216 5.739
2.551 4.417 1.626
-1.263 2.186 1.625
0.018 4.403 5.739
-0.009 -0.016 5.738
2.524 -0.001 1.625
```

---

Formation energy (no corrections): -1.391, -0.986, 0.165, 3.419, -0.573, -2.665, -0.510, -6.819, -8.050, -16.656, -14.569, -6.948 (eV per formula unit)